The following is a DFT calculation (SCAN) of a crystal of LaRh2 relaxed with PBEsol.

The structure in POSCAR format:
```
LaRh2
1.0
0.0000 3.7851 3.7851
3.7851 0.0000 3.7851
3.7851 3.7851 0.0000
La Rh
2 4
Direct
0.1250 0.1250 0.1250 La
0.8750 0.8750 0.8750 La
0.0000 0.5000 0.5000 Rh
0.5000 0.0000 0.5000 Rh
0.5000 0.5000 0.0000 Rh
0.5000 0.5000 0.5000 Rh
```

Total magnetic moment, μB per cell: 0.000
DFT formation energy, meV per atom: -769



The following is a DFT calculation (SCAN) of a crystal of LaRuRh relaxed with PBEsol.

The structure in POSCAR format:
```
LaRuRh
1.0
2.9633 0.0000 0.0000
0.0000 3.9520 0.0000
0.0000 0.0000 9.7308
La Ru Rh
2 2 2
Direct
0.0000 0.0000 0.0000 La
0.5000 0.5000 0.5000 La
0.0000 0.0000 0.2879 Ru
0.5000 0.5000 0.7879 Ru
0.0000 0.0000 0.7091 Rh
0.5000 0.5000 0.2091 Rh
```

Total magnetic moment, μB per cell: 0.000
DFT formation energy, meV per atom: -30



The following is a DFT calculation (SCAN) of a crystal of LaRu2Rh relaxed with PBEsol.

The structure in POSCAR format:
```
LaRu2Rh
1.0
4.0017 0.0000 0.0000
0.0000 4.0017 0.0000
0.0000 0.0000 4.1715
La Ru Rh
1 2 1
Direct
0.0000 0.0000 0.0000 La
0.0000 0.5000 0.5000 Ru
0.5000 0.0000 0.5000 Ru
0.5000 0.5000 0.0000 Rh
```

Total magnetic moment, μB per cell: 0.000
DFT formation energy, meV per atom: 205



The following is a DFT calculation (SCAN) of a crystal of LaRh3S relaxed with PBEsol.

The structure in POSCAR format:
```
LaRh3S
1.0
4.4559 0.0000 0.0000
0.0000 4.4559 0.0000
0.0000 0.0000 4.4559
La Rh S
1 3 1
Direct
0.0000 0.0000 0.0000 La
0.0000 0.5000 0.5000 Rh
0.5000 0.0000 0.5000 Rh
0.5000 0.5000 0.0000 Rh
0.5000 0.5000 0.5000 S
```

VASP energy, eV per formula unit: -156.9
Total magnetic moment, μB per cell: 0.000



The following is a DFT calculation (SCAN) of a crystal of LaSbRh2 relaxed with PBEsol.

The structure in POSCAR format:
```
LaSbRh2
1.0
3.7291 0.0000 0.0000
0.0000 3.9272 0.0000
0.0000 0.0000 5.5201
La Sb Rh
1 1 2
Direct
0.0000 0.0000 0.0000 La
0.5000 0.5000 0.3705 Sb
0.0000 0.0000 0.5024 Rh
0.5000 0.5000 0.8452 Rh
```

VASP energy, eV per formula unit: -150.3
Total magnetic moment, μB per cell: 0.000



The following is a DFT calculation (SCAN) of a crystal of LaSbRh2 relaxed with PBEsol.

The structure in POSCAR format:
```
LaSbRh2
1.0
6.5283 0.0000 0.0000
0.0000 6.4798 0.0000
-0.0204 0.0000 3.6493
La Sb Rh
2 2 4
Direct
0.0000 0.0000 0.0000 La
0.5000 0.5000 0.0000 La
0.0000 0.5000 0.0000 Sb
0.5000 0.0000 0.0000 Sb
0.2500 0.2500 0.5000 Rh
0.2500 0.7500 0.5000 Rh
0.7500 0.2500 0.5000 Rh
0.7500 0.7500 0.5000 Rh
```

VASP energy, eV per formula unit: -150.4
Total magnetic moment, μB per cell: 0.000



The following is a DFT calculation (SCAN) of a crystal of LaSbRh2 relaxed with PBEsol.

The structure in POSCAR format:
```
LaSbRh2
1.0
3.5118 0.0000 0.0000
0.0000 3.5124 0.0000
-0.0175 0.0000 6.3929
La Sb Rh
1 1 2
Direct
0.0000 0.0000 0.0000 La
0.0000 0.0000 0.5000 Sb
0.4994 0.5000 0.2781 Rh
0.5006 0.5000 0.7219 Rh
```

VASP energy, eV per formula unit: -149.7
Total magnetic moment, μB per cell: 0.000



The following is a DFT calculation (SCAN) of a crystal of LaSbRh2 relaxed with PBEsol.

The structure in POSCAR format:
```
LaSbRh2
1.0
4.4677 0.0000 0.0000
-2.2339 3.8692 0.0000
0.0000 0.0000 14.4730
La Sb Rh
3 3 6
Direct
0.0000 0.0000 0.0000 La
0.3333 0.6667 0.6667 La
0.6667 0.3333 0.3333 La
0.0000 0.0000 0.5000 Sb
0.3333 0.6667 0.1667 Sb
0.6667 0.3333 0.8333 Sb
0.0000 0.0000 0.2074 Rh
0.0000 0.0000 0.7926 Rh
0.3333 0.6667 0.4593 Rh
0.3333 0.6667 0.8740 Rh
0.6667 0.3333 0.1260 Rh
0.6667 0.3333 0.5407 Rh
```

VASP energy, eV per formula unit: -151.3
Total magnetic moment, μB per cell: 0.000



The following is a DFT calculation (SCAN) of a crystal of LaSc3Rh relaxed with PBEsol.

The structure in POSCAR format:
```
LaSc3Rh
1.0
5.0381 0.0000 0.0000
0.0000 5.0381 0.0000
0.0000 0.0000 5.0381
La Sc Rh
1 3 1
Direct
0.0000 0.0000 0.0000 La
0.0000 0.5000 0.5000 Sc
0.5000 0.0000 0.5000 Sc
0.5000 0.5000 0.0000 Sc
0.5000 0.5000 0.5000 Rh
```

Total magnetic moment, μB per cell: 0.000
DFT formation energy, meV per atom: -410



The following is a DFT calculation (SCAN) of a crystal of La2ScRh relaxed with PBEsol.

The structure in POSCAR format:
```
La2ScRh
1.0
7.1423 0.0000 0.0000
0.0000 7.1423 0.0000
0.0000 0.0000 7.1423
La Sc Rh
8 4 4
Direct
0.0000 0.0000 0.0000 La
0.0000 0.5000 0.5000 La
0.2500 0.2500 0.2500 La
0.2500 0.7500 0.7500 La
0.5000 0.0000 0.5000 La
0.5000 0.5000 0.0000 La
0.7500 0.2500 0.7500 La
0.7500 0.7500 0.2500 La
0.2500 0.2500 0.7500 Sc
0.2500 0.7500 0.2500 Sc
0.7500 0.2500 0.2500 Sc
0.7500 0.7500 0.7500 Sc
0.0000 0.0000 0.5000 Rh
0.0000 0.5000 0.0000 Rh
0.5000 0.0000 0.0000 Rh
0.5000 0.5000 0.5000 Rh
```

Total magnetic moment, μB per cell: 3.156
DFT formation energy, meV per atom: -141



The following is a DFT calculation (SCAN) of a crystal of LaScRh relaxed with PBEsol.

The structure in POSCAR format:
```
LaScRh
1.0
3.9851 0.0000 0.0000
-1.9925 3.4512 0.0000
0.0000 0.0000 5.6955
La Sc Rh
1 1 1
Direct
0.0000 0.0000 0.0000 La
0.6667 0.3333 0.5083 Sc
0.3333 0.6667 0.7103 Rh
```

Total magnetic moment, μB per cell: 0.000
DFT formation energy, meV per atom: -532



The following is a DFT calculation (SCAN) of a crystal of LaRhSe relaxed with PBEsol.

The structure in POSCAR format:
```
LaRhSe
1.0
4.3167 0.0000 0.0000
-2.1584 3.7384 0.0000
0.0000 0.0000 3.8541
La Rh Se
1 1 1
Direct
0.0000 0.0000 0.0000 La
0.6667 0.3333 0.5271 Rh
0.3333 0.6667 0.4866 Se
```

VASP energy, eV per formula unit: -101.3
Total magnetic moment, μB per cell: 0.000